(1)
## Co4Ag3PbO12 (GGA+U)

Data for a relaxed Co4Ag3PbO12 crystal.

Summary:
DFT total energy	-5.147	eV per atom
total moment	7.18	μB/f.u.
crystal system	cubic

Cell: 6.4570 6.4570 6.4570 Å, 109.47 109.47 109.47°
Closest atoms and distances in Å follow each position.
Element x y z (fractional)
1 Co 0.0000 0.0000 0.5000  6 O 1.96
2 Co 0.0000 0.5000 0.0000  6 O 1.96
3 Co 0.5000 0.0000 0.0000  6 O 1.96
4 Co 0.5000 0.5000 0.5000  6 O 1.96
5 Ag 0.0000 0.5000 0.5000  4 O 2.05
6 Ag 0.5000 0.0000 0.5000  4 O 2.05
7 Ag 0.5000 0.5000 0.0000  4 O 2.05
8 Pb 0.0000 0.0000 0.0000  12 O 2.61
9 O 0.1125 0.2975 0.8149  2 Co 1.96, 1 Ag 2.05
10 O 0.1851 0.4826 0.2975  2 Co 1.96, 1 Ag 2.05
11 O 0.1851 0.8875 0.7025  2 Co 1.96, 1 Ag 2.05
12 O 0.2975 0.1851 0.4826  2 Co 1.96, 1 Ag 2.05
13 O 0.2975 0.8149 0.1125  2 Co 1.96, 1 Ag 2.05
14 O 0.4826 0.2975 0.1851  2 Co 1.96, 1 Ag 2.05
15 O 0.5174 0.7025 0.8149  2 Co 1.96, 1 Ag 2.05
16 O 0.7025 0.1851 0.8875  2 Co 1.96, 1 Ag 2.05
17 O 0.7025 0.8149 0.5174  2 Co 1.96, 1 Ag 2.05
18 O 0.8149 0.1125 0.2975  2 Co 1.96, 1 Ag 2.05
19 O 0.8149 0.5174 0.7025  2 Co 1.96, 1 Ag 2.05
20 O 0.8875 0.7025 0.1851  2 Co 1.96, 1 Ag 2.05



(2)
## Rb2CoAgO4 (GGA+U)

Data for a relaxed Rb2CoAgO4 crystal.

Summary:
DFT total energy	-4.653	eV per atom
total moment	2.00	μB/f.u.
crystal system	orthorhombic

Cell: 5.7747 6.4822 6.4822 Å, 40.92 90.00 90.00°
Closest atoms and distances in Å follow each position.
Element x y z (fractional)
1 Rb 0.0000 0.0000 0.0000  6 O 2.74-2.85
2 Rb 0.5000 0.3997 0.3997  6 O 2.84-2.97
3 Co 0.0000 0.7015 0.7015  4 O 1.84-1.85
4 Ag 0.5000 0.6955 0.6955  4 O 2.01-2.02
5 O 0.2248 0.5935 0.5935  1 Co 1.85, 1 Ag 2.01
6 O 0.2345 0.8037 0.8037  1 Co 1.84, 1 Ag 2.02
7 O 0.7655 0.8037 0.8037  1 Co 1.84, 1 Ag 2.02
8 O 0.7752 0.5935 0.5935  1 Co 1.85, 1 Ag 2.01



(3)
## CoReAg2O6 (GGA+U)

Data for a relaxed CoReAg2O6 crystal.

Summary:
DFT total energy	-6.035	eV per atom
total moment	3.99	μB/f.u.
crystal system	cubic

Cell: 5.4583 5.4583 5.4583 Å, 60.00 60.00 60.00°
Closest atoms and distances in Å follow each position.
Element x y z (fractional)
1 Co 0.0000 0.0000 0.0000  6 O 1.97
2 Re 0.5000 0.5000 0.5000  6 O 1.89
3 Ag 0.2500 0.2500 0.2500  12 O 2.73
4 Ag 0.7500 0.7500 0.7500  12 O 2.73
5 O 0.2548 0.2548 0.7452  1 Re 1.89, 1 Co 1.97
6 O 0.2548 0.7452 0.2548  1 Re 1.89, 1 Co 1.97
7 O 0.2548 0.7452 0.7452  1 Re 1.89, 1 Co 1.97
8 O 0.7452 0.2548 0.2548  1 Re 1.89, 1 Co 1.97
9 O 0.7452 0.2548 0.7452  1 Re 1.89, 1 Co 1.97
10 O 0.7452 0.7452 0.2548  1 Re 1.89, 1 Co 1.97



(4)
## CoAgSO (GGA+U)

Data for a relaxed CoAgSO crystal.

Summary:
total moment	2.65	μB/f.u.
crystal system	orthorhombic
polymorph energy (0 for the lowest one)	0.2273	eV per atom

Cell: 6.3794 6.3794 5.9660 Å, 90.00 90.00 149.80°
Closest atoms and distances in Å follow each position.
Element x y z (fractional)
1 Co 0.0879 0.9121 0.7500  2 O 1.84
2 Co 0.9121 0.0879 0.2500  2 O 1.84
3 Ag 0.3792 0.6208 0.7500  2 S 2.64, 4 O 2.68
4 Ag 0.6208 0.3792 0.2500  2 S 2.64, 4 O 2.68
5 S 0.2876 0.7124 0.2500  2 Co 2.26
6 S 0.7124 0.2876 0.7500  2 Co 2.26
7 O 0.0000 0.0000 0.0000  2 Co 1.84
8 O 0.0000 0.0000 0.5000  2 Co 1.84



(5)
## CoAgSO (GGA+U)

Data for a relaxed CoAgSO crystal.

Summary:
total moment	2.76	μB/f.u.
crystal system	orthorhombic
polymorph energy (0 for the lowest one)	0.0928	eV per atom

Cell: 6.4700 6.4700 5.9145 Å, 90.00 90.00 148.96°
Closest atoms and distances in Å follow each position.
Element x y z (fractional)
1 Co 0.0590 0.9410 0.5000  2 O 1.86-1.89
2 Co 0.9410 0.0590 0.0000  2 O 1.86-1.89
3 Ag 0.3182 0.6818 0.4221  2 O 2.36, 3 S 2.61-2.62
4 Ag 0.6818 0.3182 0.9221  2 O 2.36, 3 S 2.61-2.62
5 S 0.3362 0.6638 0.8642  2 Co 2.31
6 S 0.6638 0.3362 0.3642  2 Co 2.31
7 O 0.0631 0.9369 0.8191  2 Co 1.86-1.89
8 O 0.9369 0.0631 0.3191  2 Co 1.86-1.89



(6)
## CoAgSO (GGA+U)

Data for a relaxed CoAgSO crystal.

Summary:
total moment	2.56	μB/f.u.
crystal system	orthorhombic
polymorph energy (0 for the lowest one)	0.0000	eV per atom

Cell: 5.2500 8.9690 5.2514 Å, 90.00 90.00 90.00°
Closest atoms and distances in Å follow each position.
Element x y z (fractional)
1 Co 0.0143 0.0730 0.0000  4 O 1.94-2.04
2 Co 0.4857 0.0730 0.5000  4 O 1.94-2.04
3 Co 0.5143 0.9270 0.0000  4 O 1.94-2.04
4 Co 0.9857 0.9270 0.5000  4 O 1.94-2.04
5 Ag 0.0010 0.6482 0.0650  5 S 2.63-2.85
6 Ag 0.4990 0.6482 0.5650  5 S 2.63-2.85
7 Ag 0.5010 0.3518 0.0650  5 S 2.63-2.85
8 Ag 0.9990 0.3518 0.5650  5 S 2.63-2.85
9 S 0.0007 0.3307 0.0653  1 Co 2.34
10 S 0.4993 0.3307 0.5653  1 Co 2.34
11 S 0.5007 0.6693 0.0653  1 Co 2.34
12 S 0.9993 0.6693 0.5653  1 Co 2.34
13 O 0.2422 0.9909 0.2551  4 Co 1.94-2.04
14 O 0.2578 0.9909 0.7551  4 Co 1.94-2.04
15 O 0.7422 0.0091 0.2551  4 Co 1.94-2.04
16 O 0.7578 0.0091 0.7551  4 Co 1.94-2.04



(7)
## CoAgSO (GGA+U)

Data for a relaxed CoAgSO crystal.

Summary:
total moment	0.65	μB/f.u.
crystal system	orthorhombic
polymorph energy (0 for the lowest one)	0.2833	eV per atom

Cell: 5.7278 3.5449 12.4964 Å, 90.00 90.00 90.00°
Closest atoms and distances in Å follow each position.
Element x y z (fractional)
1 Co 0.1668 0.2500 0.1866  2 O 1.85-1.89
2 Co 0.3332 0.7500 0.6866  2 O 1.85-1.89
3 Co 0.6668 0.2500 0.3134  2 O 1.85-1.89
4 Co 0.8332 0.7500 0.8134  2 O 1.85-1.89
5 Ag 0.2488 0.2500 0.9275  2 O 2.34
6 Ag 0.2512 0.7500 0.4275  2 O 2.34
7 Ag 0.7488 0.2500 0.5725  2 O 2.34
8 Ag 0.7512 0.7500 0.0725  2 O 2.34
9 S 0.2106 0.2500 0.5830  2 Co 2.30
10 S 0.2894 0.7500 0.0830  2 Co 2.30
11 S 0.7106 0.2500 0.9170  2 Co 2.30
12 S 0.7894 0.7500 0.4170  2 Co 2.30
13 O 0.1627 0.7500 0.8124  2 Co 1.85-1.89
14 O 0.3373 0.2500 0.3124  2 Co 1.85-1.89
15 O 0.6627 0.7500 0.6876  2 Co 1.85-1.89
16 O 0.8373 0.2500 0.1876  2 Co 1.85-1.89



(8)
## CoAgSO (GGA+U)

Data for a relaxed CoAgSO crystal.

Summary:
total moment	2.00	μB/f.u.
crystal system	orthorhombic
polymorph energy (0 for the lowest one)	0.1109	eV per atom

Cell: 5.7323 5.9889 7.7279 Å, 90.00 90.00 90.00°
Closest atoms and distances in Å follow each position.
Element x y z (fractional)
1 Co 0.2154 0.2422 0.0037  2 O 1.84
2 Co 0.2846 0.7578 0.5037  2 O 1.84
3 Co 0.7154 0.2578 0.9963  2 O 1.84
4 Co 0.7846 0.7422 0.4963  2 O 1.84
5 Ag 0.0857 0.7485 0.0844  2 O 2.37-2.46, 1 S 2.44
6 Ag 0.4143 0.2515 0.5844  2 O 2.37-2.46, 1 S 2.44
7 Ag 0.5857 0.7515 0.9156  2 O 2.37-2.46, 1 S 2.44
8 Ag 0.9143 0.2485 0.4156  2 O 2.37-2.46, 1 S 2.44
9 S 0.0402 0.5135 0.6366  2 Co 2.27-2.28, 1 Ag 2.44
10 S 0.4598 0.4865 0.1366  2 Co 2.27-2.28, 1 Ag 2.44
11 S 0.5402 0.9865 0.3634  2 Co 2.27-2.28, 1 Ag 2.44
12 S 0.9598 0.0135 0.8634  2 Co 2.27-2.28, 1 Ag 2.44
13 O 0.0348 0.8576 0.3764  2 Co 1.84
14 O 0.4652 0.1424 0.8764  2 Co 1.84
15 O 0.5348 0.6424 0.6236  2 Co 1.84
16 O 0.9652 0.3576 0.1236  2 Co 1.84



(9)
## CoAgSO (GGA+U)

Data for a relaxed CoAgSO crystal.

Summary:
total moment	2.04	μB/f.u.
crystal system	orthorhombic
polymorph energy (0 for the lowest one)	0.1853	eV per atom

Cell: 6.2844 7.0964 5.9993 Å, 90.00 90.00 90.00°
Closest atoms and distances in Å follow each position.
Element x y z (fractional)
1 Co 0.0727 0.1491 0.0000  1 O 1.81
2 Co 0.4273 0.1491 0.5000  1 O 1.81
3 Co 0.5727 0.8509 0.0000  1 O 1.81
4 Co 0.9273 0.8509 0.5000  1 O 1.81
5 Ag 0.1385 0.6306 0.9601  3 O 2.22-2.30
6 Ag 0.3615 0.6306 0.4601  3 O 2.22-2.30
7 Ag 0.6385 0.3694 0.9601  3 O 2.22-2.30
8 Ag 0.8615 0.3694 0.4601  3 O 2.22-2.30
9 S 0.0894 0.1154 0.6236  3 Co 2.26-2.27, 1 Ag 2.50
10 S 0.4106 0.1154 0.1236  3 Co 2.26-2.27, 1 Ag 2.50
11 S 0.5894 0.8846 0.6236  3 Co 2.26-2.27, 1 Ag 2.50
12 S 0.9106 0.8846 0.1236  3 Co 2.26-2.27, 1 Ag 2.50
13 O 0.0341 0.6293 0.6000  1 Co 1.81
14 O 0.4659 0.6293 0.1000  1 Co 1.81
15 O 0.5341 0.3707 0.6000  1 Co 1.81
16 O 0.9659 0.3707 0.1000  1 Co 1.81



(10)
## CoAgSO (GGA+U)

Data for a relaxed CoAgSO crystal.

Summary:
total moment	2.94	μB/f.u.
crystal system	orthorhombic
polymorph energy (0 for the lowest one)	0.0732	eV per atom

Cell: 3.6831 6.8679 5.3305 Å, 90.00 90.00 90.00°
Closest atoms and distances in Å follow each position.
Element x y z (fractional)
1 Co 0.0000 0.1366 0.0000  2 O 1.86-1.90
2 Co 0.0000 0.8634 0.5000  2 O 1.86-1.90
3 Ag 0.5000 0.3134 0.5823  2 O 2.34, 2 S 2.50-2.55
4 Ag 0.5000 0.6866 0.0823  2 O 2.34, 2 S 2.50-2.55
5 S 0.5000 0.3236 0.1036  2 Co 2.31, 2 Ag 2.50-2.55
6 S 0.5000 0.6764 0.6036  2 Co 2.31, 2 Ag 2.50-2.55
7 O 0.0000 0.1101 0.6460  2 Co 1.86-1.90
8 O 0.0000 0.8899 0.1460  2 Co 1.86-1.90



(11)
## CoAgSO (GGA+U)

Data for a relaxed CoAgSO crystal.

Summary:
total moment	1.66	μB/f.u.
crystal system	tetragonal
polymorph energy (0 for the lowest one)	0.4517	eV per atom

Cell: 3.8922 3.8922 7.8477 Å, 90.00 90.00 90.00°
Closest atoms and distances in Å follow each position.
Element x y z (fractional)
1 Co 0.2500 0.2500 0.2503  1 O 1.92
2 Co 0.7500 0.7500 0.7497  1 O 1.92
3 Ag 0.2500 0.7500 0.0000  4 Ag 2.75, 4 Co 2.77
4 Ag 0.7500 0.2500 0.0000  4 Ag 2.75, 4 Co 2.77
5 S 0.2500 0.2500 0.6901  1 O 1.53
6 S 0.7500 0.7500 0.3099  1 O 1.53
7 O 0.2500 0.2500 0.4953  1 S 1.53
8 O 0.7500 0.7500 0.5047  1 S 1.53



(12)
## CoAgSO (GGA+U)

Data for a relaxed CoAgSO crystal.

Summary:
total moment	3.66	μB/f.u.
crystal system	tetragonal
polymorph energy (0 for the lowest one)	0.3453	eV per atom

Cell: 4.4308 4.4308 6.7022 Å, 90.00 90.00 90.00°
Closest atoms and distances in Å follow each position.
Element x y z (fractional)
1 Co 0.2500 0.2500 0.1472  1 O 1.70
2 Co 0.7500 0.7500 0.8528  1 O 1.70
3 Ag 0.2500 0.2500 0.7183  1 O 2.13
4 Ag 0.7500 0.7500 0.2817  1 O 2.13
5 S 0.2500 0.7500 0.0000  4 Co 2.43
6 S 0.7500 0.2500 0.0000  4 Co 2.43
7 O 0.2500 0.2500 0.4001  1 Co 1.70
8 O 0.7500 0.7500 0.5999  1 Co 1.70